Compound: PaMnAs2O8
Source: Alexandria via LeMat-Bulk
Functional: PBE+U
Structure: relaxed

Values from the calculation:
Total magnetization, μB/f.u.: 3.94
Final energy, eV/cell: -86.132

Cell: 5.9300 5.9300 5.9300 Å, 107.47 107.47 113.55°
Each line ends with the local moment (μB).
Fractional positions:
Pa 0.2500 0.7500 0.5000  0.45
O 0.9310 0.2462 0.3152  0.00
O 0.8656 0.6764 0.1892  0.03
O 0.3842 0.0690 0.3152  0.00
O 0.4872 0.6764 0.8108  0.03
O 0.3236 0.1344 0.8108  0.03
O 0.3236 0.5128 0.1892  0.03
O 0.7538 0.0690 0.6848  0.00
O 0.9310 0.6158 0.6848  0.00
As 0.7500 0.2500 0.5000  0.03
As 0.5000 0.5000 0.0000  0.08
Mn 0.0000 0.0000 0.0000  3.03